## CrWI2O (PBE+U)

Data for an optimized crystal structure of CrWI2O.

Cell: 5.8174 5.8174 3.6961 Å, 90.00 90.00 90.00°
Last column: nearest neighbours and their distance in Å.
Space group P4/mmm (No. 123)
Asymmetric unit:
Cr (0.0000, 0.0000, 0.0000) (multiplicity 1)  2 O 1.85
W (0.5000, 0.5000, 0.5000) (multiplicity 1)  8 I 3.45, 2 W 3.70
I (0.0000, 0.5000, 0.0000) (multiplicity 2)  2 Cr 2.91
O (0.0000, 0.0000, 0.5000) (multiplicity 1)  2 Cr 1.85

magnetization: 1.590 μB/atom
E_tot: -4.40 eV/atom
volume: 25.016 A^3/atom